Record 1
{
  "formula": "LiHfSc",
  "functional": "GGA-PBE",
  "state": "relaxed",
  "relative_energy_mev_per_atom": 155,
  "ef_ev_per_atom": 0.242,
  "lattice": [[-2.437, 4.430, 2.912], [2.437, -4.430, 2.912], [2.437, 4.430, -2.912]],
  "species": ["Li", "Li", "Hf", "Hf", "Sc", "Sc"],
  "frac_coords": [[0.068, 0.250, 0.318], [0.932, 0.750, 0.682], [0.547, 0.011, 0.036], [0.976, 0.511, 0.964], [0.383, 0.230, 0.653], [0.576, 0.730, 0.347]]
}

=====

Record 2
{
  "formula": "LiHf2Sc",
  "functional": "GGA-PBE",
  "state": "relaxed",
  "relative_energy_mev_per_atom": 330,
  "ef_ev_per_atom": 0.586,
  "lattice": [[-2.031, 2.031, 10.782], [2.031, -2.031, 10.782], [2.031, 2.031, -10.782]],
  "species": ["Li", "Li", "Hf", "Hf", "Hf", "Hf", "Sc", "Sc"],
  "frac_coords": [[0.000, 0.000, 0.000], [0.750, 0.250, 0.500], [0.120, 0.625, 0.995], [0.375, 0.370, 0.495], [0.630, 0.125, 0.005], [0.875, 0.880, 0.505], [0.250, 0.750, 0.500], [0.500, 0.500, 0.000]]
}

=====

Record 3
{
  "formula": "Li2Hf2ScSe6",
  "functional": "GGA-PBE",
  "state": "relaxed",
  "e_form_raw_kj_per_mol_atoms": -137.06,
  "lattice": [[3.274, -5.687, 0.000], [3.274, 5.687, 0.000], [-2.190, 0.000, 6.554]],
  "species": ["Li", "Li", "Hf", "Hf", "Sc", "Se", "Se", "Se", "Se", "Se", "Se"],
  "frac_coords": [[0.167, 0.833, 0.000], [0.833, 0.167, 0.000], [0.334, 0.666, 0.500], [0.666, 0.334, 0.500], [0.000, 0.000, 0.500], [0.081, 0.418, 0.743], [0.256, 0.256, 0.257], [0.418, 0.081, 0.743], [0.582, 0.919, 0.257], [0.744, 0.744, 0.743], [0.919, 0.582, 0.257]]
}

=====

Record 4
{
  "formula": "Li3Hf2ScSe6",
  "functional": "GGA-PBE",
  "state": "relaxed",
  "e_form_raw_kj_per_mol_atoms": -132.95,
  "lattice": [[3.275, -5.674, 0.000], [3.275, 5.674, 0.000], [-2.183, 0.000, 6.532]],
  "species": ["Li", "Li", "Li", "Hf", "Hf", "Sc", "Se", "Se", "Se", "Se", "Se", "Se"],
  "frac_coords": [[0.000, 0.000, 0.000], [0.333, 0.667, 0.000], [0.667, 0.333, 0.000], [0.167, 0.833, 0.500], [0.833, 0.167, 0.500], [0.500, 0.500, 0.500], [0.081, 0.418, 0.252], [0.246, 0.246, 0.748], [0.418, 0.081, 0.252], [0.582, 0.919, 0.748], [0.754, 0.754, 0.252], [0.919, 0.582, 0.748]]
}

=====

Record 5
{
  "formula": "LiHfScSe4",
  "functional": "GGA-PBE",
  "state": "relaxed",
  "e_form_raw_kj_per_mol_atoms": -142.66,
  "lattice": [[-3.908, 3.953, 5.565], [3.908, -3.953, 5.565], [3.908, 3.953, -5.565]],
  "species": ["Li", "Li", "Hf", "Hf", "Sc", "Sc", "Se", "Se", "Se", "Se", "Se", "Se", "Se", "Se"],
  "frac_coords": [[0.371, 0.121, 0.250], [0.629, 0.879, 0.750], [0.000, 0.000, 0.500], [0.000, 0.500, 0.000], [0.000, 0.500, 0.500], [0.500, 0.500, 0.000], [0.232, 0.746, 0.486], [0.239, 0.254, 0.986], [0.240, 0.252, 0.512], [0.240, 0.728, 0.988], [0.760, 0.272, 0.012], [0.760, 0.748, 0.488], [0.761, 0.746, 0.014], [0.768, 0.254, 0.514]]
}

=====

Record 6
{
  "formula": "Li2HfScSe4",
  "functional": "GGA-PBE",
  "state": "relaxed",
  "e_form_raw_kj_per_mol_atoms": -138.47,
  "lattice": [[6.602, 0.000, 0.000], [0.000, 3.797, 0.000], [-2.183, 0.000, 6.495]],
  "species": ["Li", "Li", "Hf", "Sc", "Se", "Se", "Se", "Se"],
  "frac_coords": [[0.000, 0.000, 0.000], [0.500, 0.500, 0.000], [0.000, 0.500, 0.500], [0.500, 0.000, 0.500], [0.247, 0.000, 0.747], [0.249, 0.500, 0.254], [0.751, 0.500, 0.746], [0.753, 0.000, 0.253]]
}

=====

Record 7
{
  "formula": "Li4HfSc3Se8",
  "functional": "GGA-PBE",
  "state": "relaxed",
  "e_form_raw_kj_per_mol_atoms": -146.43,
  "lattice": [[3.836, 2.215, 6.446], [-3.836, 2.215, 6.446], [0.000, -4.429, 6.446]],
  "species": ["Li", "Li", "Li", "Li", "Hf", "Sc", "Sc", "Sc", "Se", "Se", "Se", "Se", "Se", "Se", "Se", "Se"],
  "frac_coords": [[0.000, 0.000, 0.000], [0.000, 0.500, 0.500], [0.500, 0.000, 0.500], [0.500, 0.500, 0.000], [0.500, 0.500, 0.500], [0.000, 0.000, 0.500], [0.000, 0.500, 0.000], [0.500, 0.000, 0.000], [0.248, 0.248, 0.248], [0.252, 0.747, 0.747], [0.253, 0.253, 0.748], [0.253, 0.748, 0.253], [0.747, 0.252, 0.747], [0.747, 0.747, 0.252], [0.748, 0.253, 0.253], [0.752, 0.752, 0.752]]
}

=====

Record 8
{
  "formula": "Li3HfSc2Se6",
  "functional": "GGA-PBE",
  "state": "relaxed",
  "e_form_raw_kj_per_mol_atoms": -143.70,
  "lattice": [[3.314, -5.739, 0.000], [3.314, 5.739, 0.000], [-2.211, 0.000, 6.465]],
  "species": ["Li", "Li", "Li", "Hf", "Sc", "Sc", "Se", "Se", "Se", "Se", "Se", "Se"],
  "frac_coords": [[0.000, 0.000, 0.000], [0.334, 0.666, 0.000], [0.666, 0.334, 0.000], [0.500, 0.500, 0.500], [0.167, 0.833, 0.500], [0.833, 0.167, 0.500], [0.088, 0.418, 0.254], [0.252, 0.252, 0.745], [0.418, 0.088, 0.254], [0.582, 0.912, 0.746], [0.748, 0.748, 0.255], [0.912, 0.582, 0.746]]
}

=====

Q: Which formula does entry 4 have?
A: Li3Hf2ScSe6